Record 1
A relaxed structure of BeTl2Rh2. Source: Alexandria via LeMat-Bulk, functional PBE.

DFT formation energy (meV/atom): 683
Space-group type: I4/mmm (139)

a = 3.603 Å, b = 3.603 Å, c = 15.939 Å
α = 90.00°, β = 90.00°, γ = 90.00°
Atoms (fractional coordinates):
Be (0.000, 0.000, 0.000)
Be (0.500, 0.500, 0.500)
Tl (0.000, 0.000, 0.395)
Tl (0.000, 0.000, 0.605)
Tl (0.500, 0.500, 0.105)
Tl (0.500, 0.500, 0.895)
Rh (0.000, 0.500, 0.250)
Rh (0.000, 0.500, 0.750)
Rh (0.500, 0.000, 0.250)
Rh (0.500, 0.000, 0.750)

***

Record 2
A relaxed structure of Be2TlRh. Source: Alexandria via LeMat-Bulk, functional PBE.

DFT formation energy (meV/atom): 317
Space-group type: I4_1/amd (141)

a = 4.154 Å, b = 4.154 Å, c = 15.724 Å
α = 90.00°, β = 90.00°, γ = 90.00°
Atoms (fractional coordinates):
Be (0.000, 0.000, 0.000)
Be (0.000, 0.500, 0.000)
Be (0.250, 0.250, 0.750)
Be (0.250, 0.750, 0.250)
Be (0.500, 0.000, 0.500)
Be (0.500, 0.500, 0.500)
Be (0.750, 0.250, 0.750)
Be (0.750, 0.750, 0.250)
Tl (0.000, 0.250, 0.375)
Tl (0.000, 0.750, 0.625)
Tl (0.500, 0.250, 0.125)
Tl (0.500, 0.750, 0.875)
Rh (0.000, 0.250, 0.875)
Rh (0.000, 0.750, 0.125)
Rh (0.500, 0.250, 0.625)
Rh (0.500, 0.750, 0.375)

***

Record 3
A relaxed structure of Be2TlRh. Source: Alexandria via LeMat-Bulk, functional PBE.

DFT formation energy (meV/atom): 202
Space-group type: I4/mmm (139)

a = 3.846 Å, b = 3.846 Å, c = 7.386 Å
α = 90.00°, β = 90.00°, γ = 90.00°
Atoms (fractional coordinates):
Be (0.000, 0.500, 0.250)
Be (0.000, 0.500, 0.750)
Be (0.500, 0.000, 0.250)
Be (0.500, 0.000, 0.750)
Tl (0.000, 0.000, 0.000)
Tl (0.500, 0.500, 0.500)
Rh (0.000, 0.000, 0.500)
Rh (0.500, 0.500, 0.000)

***

Record 4
A relaxed structure of Be2TlRh. Source: Alexandria via LeMat-Bulk, functional PBE.

DFT formation energy (meV/atom): 267
Space-group type: R-3m (166)

a = 3.056 Å, b = 3.056 Å, c = 22.514 Å
α = 90.00°, β = 90.00°, γ = 120.00°
Atoms (fractional coordinates):
Be (0.000, 0.000, 0.233)
Be (0.000, 0.000, 0.767)
Be (0.333, 0.667, 0.434)
Be (0.333, 0.667, 0.900)
Be (0.667, 0.333, 0.100)
Be (0.667, 0.333, 0.566)
Tl (0.000, 0.000, 0.000)
Tl (0.333, 0.667, 0.667)
Tl (0.667, 0.333, 0.333)
Rh (0.000, 0.000, 0.500)
Rh (0.333, 0.667, 0.167)
Rh (0.667, 0.333, 0.833)

***

Record 5
A relaxed structure of BeTl2Rh. Source: Alexandria via LeMat-Bulk, functional PBE.

DFT formation energy (meV/atom): 123
Space-group type: Pm (6)

a = 4.117 Å, b = 3.801 Å, c = 5.321 Å
α = 90.00°, β = 112.50°, γ = 90.00°
Atoms (fractional coordinates):
Be (0.000, 0.000, 0.000)
Tl (0.287, 0.000, 0.571)
Tl (0.588, 0.500, 0.177)
Rh (0.885, 0.500, 0.768)

***

Record 6
A relaxed structure of BeTl2Rh. Source: Alexandria via LeMat-Bulk, functional PBE.

DFT formation energy (meV/atom): 451
Space-group type: P2/m (10)

a = 3.562 Å, b = 3.507 Å, c = 5.842 Å
α = 90.00°, β = 90.07°, γ = 90.00°
Atoms (fractional coordinates):
Be (0.000, 0.000, 0.000)
Tl (0.499, 0.500, 0.248)
Tl (0.501, 0.500, 0.752)
Rh (0.000, 0.000, 0.500)

***

Record 7
A relaxed structure of BeTl2Rh. Source: Alexandria via LeMat-Bulk, functional PBE.

DFT formation energy (meV/atom): 616
Space-group type: I-42d (122)

a = 7.340 Å, b = 7.340 Å, c = 5.762 Å
α = 90.00°, β = 90.00°, γ = 90.00°
Atoms (fractional coordinates):
Be (0.000, 0.000, 0.000)
Be (0.000, 0.500, 0.250)
Be (0.500, 0.000, 0.750)
Be (0.500, 0.500, 0.500)
Tl (0.223, 0.250, 0.125)
Tl (0.250, 0.723, 0.375)
Tl (0.250, 0.777, 0.875)
Tl (0.277, 0.250, 0.625)
Tl (0.723, 0.750, 0.625)
Tl (0.750, 0.223, 0.875)
Tl (0.750, 0.277, 0.375)
Tl (0.777, 0.750, 0.125)
Rh (0.000, 0.000, 0.500)
Rh (0.000, 0.500, 0.750)
Rh (0.500, 0.000, 0.250)
Rh (0.500, 0.500, 0.000)

***

Record 8
A relaxed structure of Be2TlRh. Source: Alexandria via LeMat-Bulk, functional PBE.

DFT formation energy (meV/atom): -48
Space-group type: Cm (8)

a = 6.687 Å, b = 3.845 Å, c = 5.177 Å
α = 90.00°, β = 115.34°, γ = 90.00°
Atoms (fractional coordinates):
Be (0.000, 0.000, 0.000)
Be (0.175, 0.500, 0.024)
Be (0.500, 0.500, 0.000)
Be (0.675, 0.000, 0.024)
Tl (0.185, 0.000, 0.552)
Tl (0.685, 0.500, 0.552)
Rh (0.381, 0.000, 0.144)
Rh (0.881, 0.500, 0.144)